A relaxed structure of MgTlGa. Source: Alexandria, functional PBE.

Values from the calculation:
V (Å³/atom): 25.142
Final energy (eV per atom): -2.312
Formation energy from the elements (eV/atom): 0.017
Fermi-level density of states (states/eV per cell): 6.43

Cell: 4.3594 4.3594 27.4976 Å, 90.00 90.00 120.00°
With the nearest neighbours (Å) after each atom.
Space group R3m (No. 160, hexagonal axes)
Asymmetric unit:
Mg 0.0000 0.0000 0.0000 (multiplicity 3)  6 Ga 2.89-3.21, 3 Tl 3.13
Mg 0.0000 0.0000 0.1232 (multiplicity 3)  6 Ga 2.88-3.20, 3 Tl 3.12
Tl 0.0000 0.0000 0.2658 (multiplicity 3)  3 Mg 3.13, 3 Tl 3.27
Tl 0.0000 0.0000 0.5233 (multiplicity 3)  3 Mg 3.12, 1 Ga 3.23, 3 Tl 3.27
Ga 0.0000 0.0000 0.4057 (multiplicity 3)  3 Ga 2.58, 3 Mg 2.88
Ga 0.0000 0.0000 0.7182 (multiplicity 3)  3 Ga 2.58, 3 Mg 2.89